Th2Zn3Au5 | PBE-GGA | optimized geometry

Unit cell a=8.9403 b=8.9403 c=8.9403 alpha=106.37 beta=86.34 gamma=141.44
Sites, in units of the cell vectors:
Th 0.1405 0.2197 0.3602
Th 0.3595 0.7197 0.0793
Th 0.6405 0.2803 0.9207
Th 0.8595 0.7803 0.6398
Zn 0.1487 0.9044 0.0531
Zn 0.2500 0.7500 0.5000
Zn 0.3513 0.4044 0.7558
Zn 0.6487 0.5956 0.2442
Zn 0.7500 0.2500 0.5000
Zn 0.8513 0.0956 0.9469
Au 0.0418 0.7500 0.2918
Au 0.0857 0.6809 0.7666
Au 0.2500 0.2500 0.0000
Au 0.4143 0.1809 0.5953
Au 0.4582 0.7500 0.7082
Au 0.5418 0.2500 0.2918
Au 0.5857 0.8191 0.4047
Au 0.7500 0.7500 0.0000
Au 0.9143 0.3191 0.2334
Au 0.9582 0.2500 0.7082

## Properties
As for the energy: -0.1456 Ha/atom. The calculation puts the total magnetization at 0.0000 μB per atom. As for the symmetry: No. 72. The energy of formation is -0.458 eV/atom.

---

ThZn4Au2 | PBE-GGA | optimized geometry

Unit cell a=4.0827 b=16.4627 c=3.9956 alpha=90.00 beta=90.00 gamma=90.00
Sites, in units of the cell vectors:
Th 0.0000 0.0000 0.0000
Th 0.5000 0.5000 0.0000
Zn 0.0000 0.1899 0.5000
Zn 0.0000 0.3051 0.0000
Zn 0.0000 0.6949 0.0000
Zn 0.0000 0.8101 0.5000
Zn 0.5000 0.1949 0.0000
Zn 0.5000 0.3101 0.5000
Zn 0.5000 0.6899 0.5000
Zn 0.5000 0.8051 0.0000
Au 0.0000 0.4152 0.5000
Au 0.0000 0.5848 0.5000
Au 0.5000 0.0848 0.5000
Au 0.5000 0.9152 0.5000

## Properties
As for the energy: -0.1118 Ha/atom. The calculation puts the total magnetization at 0.0000 μB per atom. As for the symmetry: No. 65. The energy above the most stable polymorph in this dataset comes out at 31.2 meV/atom. The energy of formation is -0.318 eV/atom.